Below is a geometry-optimized ZnCdTe2 structure, with properties calculated at the GGA-PBEsol level.

Results
Energy, eV for the cell shown: -18.80
DOS at the Fermi energy, states/eV/cell: 3.523
Uncorrected formation energy, eV per atom: 0.108

Structure (CIF):
```
data_ZnCdTe2
_cell_length_a 3.852
_cell_length_b 5.063
_cell_length_c 9.819
_cell_angle_alpha 90.00
_cell_angle_beta 90.00
_cell_angle_gamma 90.00
_space_group_name_H-M_alt 'C m m 2'
_space_group_IT_number 35
_space_group_name_Hall 'C 2 -2'
loop_
_atom_site_label
_atom_site_type_symbol
_atom_site_fract_x
_atom_site_fract_y
_atom_site_fract_z
Zn1 Zn 0.000 0.000 0.000
Cd1 Cd 0.000 0.500 0.801
Te1 Te 0.000 0.000 0.550
Te2 Te 0.000 0.500 0.215
```

---

Below is a geometry-optimized Zr3CdTe structure, with properties calculated at the GGA-PBEsol level.

Results
Energy, eV for the cell shown: -27.84
DOS at the Fermi energy, states/eV/cell: 7.579
Uncorrected formation energy, eV per atom: 0.831

Structure (CIF):
```
data_Zr3CdTe
_cell_length_a 5.153
_cell_length_b 5.153
_cell_length_c 5.153
_cell_angle_alpha 90.00
_cell_angle_beta 90.00
_cell_angle_gamma 90.00
_space_group_name_H-M_alt 'P m -3 m'
_space_group_IT_number 221
_space_group_name_Hall '-P 4 2 3'
loop_
_atom_site_label
_atom_site_type_symbol
_atom_site_fract_x
_atom_site_fract_y
_atom_site_fract_z
Zr1 Zr 0.000 0.000 0.500
Cd1 Cd 0.000 0.000 0.000
Te1 Te 0.500 0.500 0.500
```

---

Below is a geometry-optimized ZrCdTe structure, with properties calculated at the GGA-PBEsol level.

Results
Energy, eV for the cell shown: -55.00
DOS at the Fermi energy, states/eV/cell: 15.666
Uncorrected formation energy, eV per atom: 0.021

Structure (CIF):
```
data_ZrCdTe
_cell_length_a 6.818
_cell_length_b 6.818
_cell_length_c 6.818
_cell_angle_alpha 90.00
_cell_angle_beta 90.00
_cell_angle_gamma 90.00
_space_group_name_H-M_alt 'F -4 3 m'
_space_group_IT_number 216
_space_group_name_Hall 'F -4 2 3'
loop_
_atom_site_label
_atom_site_type_symbol
_atom_site_fract_x
_atom_site_fract_y
_atom_site_fract_z
Zr1 Zr 0.000 0.000 0.000
Cd1 Cd 0.250 0.250 0.750
Te1 Te 0.250 0.250 0.250
```

---

Below is a geometry-optimized ThCd3 structure, with properties calculated at the GGA-PBEsol level.

Results
DFT formation energy, eV/atom: -0.170
Energy, eV for the cell shown: -24.76
DOS at the Fermi energy, states/eV/cell: 4.475

Structure (CIF):
```
data_ThCd3
_cell_length_a 6.7191
_cell_length_b 6.7191
_cell_length_c 4.8854
_cell_angle_alpha 90.00
_cell_angle_beta 90.00
_cell_angle_gamma 120.00
_space_group_name_H-M_alt 'P 63/m m c'
_space_group_IT_number 194
_space_group_name_Hall '-P 6c 2c'
loop_
_atom_site_label
_atom_site_type_symbol
_atom_site_fract_x
_atom_site_fract_y
_atom_site_fract_z
Th1 Th 0.3333 0.6667 0.2500
Cd1 Cd 0.1557 0.3114 0.7500
```

---

Below is a geometry-optimized ThCd11 structure, with properties calculated at the GGA-PBEsol level.

Results
DFT formation energy, eV/atom: -0.116
Energy, eV for the cell shown: -68.01
DOS at the Fermi energy, states/eV/cell: 7.962

Structure (CIF):
```
data_ThCd11
_cell_length_a 9.195
_cell_length_b 9.195
_cell_length_c 9.195
_cell_angle_alpha 90.00
_cell_angle_beta 90.00
_cell_angle_gamma 90.00
_space_group_name_H-M_alt 'P m -3 m'
_space_group_IT_number 221
_space_group_name_Hall '-P 4 2 3'
loop_
_atom_site_label
_atom_site_type_symbol
_atom_site_fract_x
_atom_site_fract_y
_atom_site_fract_z
Th1 Th 0.000 0.000 0.500
Cd1 Cd 0.000 0.345 0.345
Cd2 Cd 0.156 0.156 0.156
Cd3 Cd 0.266 0.266 0.500
Cd4 Cd 0.500 0.500 0.500
```

---

Below is a geometry-optimized ThCd2 structure, with properties calculated at the GGA-PBEsol level.

Results
DFT formation energy, eV/atom: -0.205
Energy, eV for the cell shown: -11.12
DOS at the Fermi energy, states/eV/cell: 2.161

Structure (CIF):
```
data_ThCd2
_cell_length_a 5.0084
_cell_length_b 5.0084
_cell_length_c 3.3566
_cell_angle_alpha 90.00
_cell_angle_beta 90.00
_cell_angle_gamma 120.00
_space_group_name_H-M_alt 'P 6/m m m'
_space_group_IT_number 191
_space_group_name_Hall '-P 6 2'
loop_
_atom_site_label
_atom_site_type_symbol
_atom_site_fract_x
_atom_site_fract_y
_atom_site_fract_z
Th1 Th 0.0000 0.0000 0.0000
Cd1 Cd 0.3333 0.6667 0.5000
```

---

Below is a geometry-optimized TiCd3 structure, with properties calculated at the GGA-PBEsol level.

Results
DFT formation energy, eV/atom: -0.006
Energy, eV for the cell shown: -23.87
DOS at the Fermi energy, states/eV/cell: 4.956

Structure (CIF):
```
data_TiCd3
_cell_length_a 6.0566
_cell_length_b 6.0566
_cell_length_c 4.7359
_cell_angle_alpha 90.00
_cell_angle_beta 90.00
_cell_angle_gamma 120.00
_space_group_name_H-M_alt 'P 63/m m c'
_space_group_IT_number 194
_space_group_name_Hall '-P 6c 2c'
loop_
_atom_site_label
_atom_site_type_symbol
_atom_site_fract_x
_atom_site_fract_y
_atom_site_fract_z
Ti1 Ti 0.3333 0.6667 0.2500
Cd1 Cd 0.1692 0.3384 0.7500
```

---

Below is a geometry-optimized Ti3Cd structure, with properties calculated at the GGA-PBEsol level.

Results
DFT formation energy, eV/atom: 0.015
Energy, eV for the cell shown: -26.10
DOS at the Fermi energy, states/eV/cell: 5.497

Structure (CIF):
```
data_Ti3Cd
_cell_length_a 4.086
_cell_length_b 4.086
_cell_length_c 4.086
_cell_angle_alpha 90.00
_cell_angle_beta 90.00
_cell_angle_gamma 90.00
_space_group_name_H-M_alt 'P m -3 m'
_space_group_IT_number 221
_space_group_name_Hall '-P 4 2 3'
loop_
_atom_site_label
_atom_site_type_symbol
_atom_site_fract_x
_atom_site_fract_y
_atom_site_fract_z
Ti1 Ti 0.000 0.000 0.500
Cd1 Cd 0.500 0.500 0.500
```

---

Number 3 is which compound? ZrCdTe

---

The highest energy belongs to which entry? ThCd2

---

Among the records above, which one has the highest energy? ThCd2